No. 1
Compound: Ac2TmVS6
Source: Alexandria via LeMat-Bulk
Functional: PBE-GGA
Structure: relaxed

Total magnetization in μB/cell: 4.00
SG: Pmmn (59)
Formation energy (no corrections) in kcal/mol of atoms: -38.26
Density of states at the Fermi level in states/eV/f.u.: 4.323

a = 7.0714 Å, b = 6.8994 Å, c = 9.9266 Å
α = 90.00°, β = 90.00°, γ = 90.00°
Atoms (fractional coordinates):
1 Ac 0.5000 0.7903 0.2090
2 Ac 0.0000 0.2097 0.7090
3 Ac 0.5000 0.7903 0.7910
4 Ac 0.0000 0.2097 0.2910
5 Tm 0.5000 0.2414 0.5000
6 Tm 0.0000 0.7586 0.0000
7 V 0.0000 0.7285 0.5000
8 V 0.5000 0.2715 0.0000
9 S 0.5000 0.2345 0.2389
10 S 0.5000 0.2345 0.7611
11 S 0.0000 0.7655 0.2611
12 S 0.0000 0.7655 0.7389
13 S 0.2429 0.9717 0.5000
14 S 0.7571 0.9717 0.5000
15 S 0.2199 0.4740 0.5000
16 S 0.7801 0.4740 0.5000
17 S 0.7199 0.5260 0.0000
18 S 0.2801 0.5260 0.0000
19 S 0.2571 0.0283 0.0000
20 S 0.7429 0.0283 0.0000


No. 2
Compound: AcY2TmS6
Source: Alexandria via LeMat-Bulk
Functional: PBE-GGA
Structure: relaxed

Total magnetization in μB/cell: 0.00
SG: R3 (146)
Formation energy (no corrections) in kcal/mol of atoms: -47.81
Density of states at the Fermi level in states/eV/f.u.: 0.000

a = 7.0582 Å, b = 7.0581 Å, c = 7.4260 Å
α = 61.63°, β = 61.63°, γ = 60.00°
Atoms (fractional coordinates):
1 Ac 0.8023 0.8023 0.5932
2 Y 0.5203 0.5203 0.4391
3 Y 0.0121 0.0121 0.9636
4 Tm 0.3177 0.3176 0.0471
5 S 0.6100 0.2280 0.2430
6 S 0.2280 0.9189 0.2430
7 S 0.9190 0.6100 0.2431
8 S 0.3742 0.7228 0.7476
9 S 0.7228 0.1552 0.7477
10 S 0.1553 0.3743 0.7477


No. 3
Compound: Ac2YTmS4
Source: Alexandria via LeMat-Bulk
Functional: PBE-GGA
Structure: relaxed

Total magnetization in μB/cell: 0.00
SG: P2/m (10)
Formation energy (no corrections) in kcal/mol of atoms: -45.59
Density of states at the Fermi level in states/eV/f.u.: 3.093

a = 3.9788 Å, b = 6.9239 Å, c = 7.4107 Å
α = 108.03°, β = 90.00°, γ = 90.00°
Atoms (fractional coordinates):
1 Ac 0.5000 0.0000 0.5000
2 Ac 0.0000 0.5000 0.5000
3 Y 0.0000 0.0000 0.0000
4 Tm 0.5000 0.5000 0.0000
5 S 0.5000 0.2419 0.2159
6 S 0.5000 0.7581 0.7841
7 S 0.0000 0.2662 0.7864
8 S 0.0000 0.7338 0.2136


No. 4
Compound: AcY2TmS4
Source: Alexandria via LeMat-Bulk
Functional: PBE-GGA
Structure: relaxed

Total magnetization in μB/cell: 0.00
SG: P2/m (10)
Formation energy (no corrections) in kcal/mol of atoms: -44.56
Density of states at the Fermi level in states/eV/f.u.: 4.334

a = 3.9405 Å, b = 6.8732 Å, c = 7.0917 Å
α = 71.34°, β = 90.00°, γ = 90.00°
Atoms (fractional coordinates):
1 Ac 0.5000 0.5000 0.0000
2 Y 0.0000 0.0000 0.0000
3 Y 0.5000 0.0000 0.5000
4 Tm 0.0000 0.5000 0.5000
5 S 0.0000 0.7657 0.7268
6 S 0.0000 0.2343 0.2732
7 S 0.5000 0.7520 0.2663
8 S 0.5000 0.2480 0.7337


No. 5
Compound: Ac2TmZrS6
Source: Alexandria via LeMat-Bulk
Functional: PBE-GGA
Structure: relaxed

Total magnetization in μB/cell: 0.00
SG: P1 (1)
Formation energy (no corrections) in kcal/mol of atoms: -43.54
Density of states at the Fermi level in states/eV/f.u.: 2.049

a = 7.2507 Å, b = 7.2514 Å, c = 7.3305 Å
α = 120.33°, β = 120.42°, γ = 91.25°
Atoms (fractional coordinates):
1 Ac 0.7850 0.3527 0.6433
2 Ac 0.3517 0.7856 0.6430
3 Tm 0.4861 0.4865 0.9840
4 Zr 0.9957 0.9961 0.9709
5 S 0.7865 0.7860 0.0564
6 S 0.6628 0.6635 0.4793
7 S 0.1478 0.1485 0.8057
8 S 0.7456 0.2400 0.9721
9 S 0.2973 0.2983 0.4706
10 S 0.2404 0.7468 0.9725


No. 6
Compound: AcUS2
Source: Alexandria via LeMat-Bulk
Functional: PBE-GGA
Structure: relaxed

Total magnetization in μB/cell: 2.79
SG: R-3m (166)
Formation energy (no corrections) in kcal/mol of atoms: -37.00
Energy relative to the lowest polymorph listed for this composition in meV/atom: 0.0
Density of states at the Fermi level in states/eV/f.u.: 6.851

a = 4.0189 Å, b = 4.0189 Å, c = 7.3281 Å
α = 74.09°, β = 74.09°, γ = 60.00°
Atoms (fractional coordinates):
1 Ac 0.5000 0.5000 0.5000
2 U 0.0000 0.0000 0.0000
3 S 0.7405 0.7405 0.7786
4 S 0.2595 0.2595 0.2214


No. 7
Compound: Ac2US5
Source: Alexandria via LeMat-Bulk
Functional: PBE-GGA
Structure: relaxed

Total magnetization in μB/cell: 4.00
SG: Cmcm (63)
Formation energy (no corrections) in kcal/mol of atoms: -41.61
Energy relative to the lowest polymorph listed for this composition in meV/atom: 125.3
Density of states at the Fermi level in states/eV/f.u.: 3.765

a = 5.5305 Å, b = 7.7688 Å, c = 13.8003 Å
α = 90.00°, β = 90.00°, γ = 110.85°
Atoms (fractional coordinates):
1 Ac 0.8561 0.7122 0.4319
2 Ac 0.8561 0.7122 0.0681
3 Ac 0.1439 0.2878 0.5681
4 Ac 0.1439 0.2878 0.9319
5 U 0.8171 0.6342 0.7500
6 U 0.1829 0.3658 0.2500
7 S 0.9498 0.8997 0.8792
8 S 0.9498 0.8997 0.6208
9 S 0.2937 0.5874 0.4124
10 S 0.2937 0.5874 0.0876
11 S 0.7321 0.4643 0.2500
12 S 0.2679 0.5357 0.7500
13 S 0.7063 0.4126 0.5876
14 S 0.7063 0.4126 0.9124
15 S 0.0502 0.1003 0.1208
16 S 0.0502 0.1003 0.3792


No. 8
Compound: Ac2U3S8
Source: Alexandria via LeMat-Bulk
Functional: PBE-GGA
Structure: relaxed

Total magnetization in μB/cell: 8.00
SG: C2/m (12)
Formation energy (no corrections) in kcal/mol of atoms: -38.06
Energy relative to the lowest polymorph listed for this composition in meV/atom: 0.0
Density of states at the Fermi level in states/eV/f.u.: 14.566

a = 6.7811 Å, b = 8.1425 Å, c = 8.3670 Å
α = 119.12°, β = 107.04°, γ = 90.00°
Atoms (fractional coordinates):
1 Ac 0.3358 0.2690 0.5380
2 Ac 0.6642 0.7310 0.4620
3 U 0.5000 0.0000 0.0000
4 U 0.0000 0.2556 0.0000
5 U 0.0000 0.7444 0.0000
6 S 0.9428 0.6134 0.2267
7 S 0.0572 0.3866 0.7733
8 S 0.9161 0.1087 0.2174
9 S 0.0839 0.8913 0.7826
10 S 0.5912 0.6562 0.7626
11 S 0.5912 0.1064 0.7626
12 S 0.4088 0.8936 0.2374
13 S 0.4088 0.3438 0.2374